CePuHfPa | PBE | relaxed

Structure (extended XYZ):
```
4
Lattice="5.154 0.000 0.000 2.577 4.463 0.000 2.577 1.488 4.208" Properties=species:S:1:pos:R:3 pbc="T T T"
Hf 2.577 1.488 1.052
Ce 5.154 2.975 2.104
Pa 7.730 4.463 3.156
Pu 0.000 0.000 0.000
```

Crystal system ... cubic
Symmetry ... F-43m (216)
Density of states at the Fermi level ... 10.62 states/eV/f.u.
Total magnetic moment ... 6.5 μB per formula unit
Uncorrected energy ... -38.73 eV for the cell shown



CeHfPa2S8 | PBE | relaxed

Structure (extended XYZ):
```
12
Lattice="-2.161 5.307 -2.773 1.373 -2.247 -5.551 -7.404 -3.278 -0.503" Properties=species:S:1:pos:R:3 pbc="T T T"
Pa -6.002 -0.953 -4.543
Hf 0.000 0.000 0.000
S -5.024 -3.378 -5.176
S -4.131 0.222 -6.053
Pa -2.190 0.735 -4.284
S -0.474 1.983 -5.944
S -4.061 -0.441 -2.774
S -7.211 1.369 -3.926
S -7.718 -2.202 -2.883
Ce -3.702 -1.639 -0.252
S -0.981 -1.588 -4.901
S -3.168 3.160 -3.651
```

Crystal system ... monoclinic
Symmetry ... P2/m (10)
Density of states at the Fermi level ... 10.78 states/eV/f.u.
Formation energy without anion corrections ... -1.57 eV per atom
Total magnetic moment ... 2.1 μB per formula unit
Uncorrected energy ... -86.70 eV for the cell shown



CeHfThPa | PBE | relaxed

Structure (extended XYZ):
```
4
Lattice="-4.070 1.281 -3.167 -4.994 -0.754 1.654 -3.069 4.176 1.175" Properties=species:S:1:pos:R:3 pbc="T T T"
Hf -9.100 3.528 -0.254
Pa -6.066 2.352 -0.169
Ce 0.000 0.000 0.000
Th -3.033 1.176 -0.085
```

Crystal system ... cubic
Symmetry ... F-43m (216)
Density of states at the Fermi level ... 10.22 states/eV/f.u.
Total magnetic moment ... 0.0 μB per formula unit
Uncorrected energy ... -31.43 eV for the cell shown



CeHfZrPa | PBE | relaxed

Structure (extended XYZ):
```
4
Lattice="5.197 0.000 0.000 2.599 4.501 0.000 2.599 1.500 4.244" Properties=species:S:1:pos:R:3 pbc="T T T"
Zr 7.796 4.501 3.183
Hf 2.599 1.500 1.061
Pa 0.000 0.000 0.000
Ce 5.197 3.001 2.122
```

Crystal system ... cubic
Symmetry ... F-43m (216)
Density of states at the Fermi level ... 12.38 states/eV/f.u.
Total magnetic moment ... 0.4 μB per formula unit
Uncorrected energy ... -32.68 eV for the cell shown



CeHfPb2 | PBE | relaxed

Structure (extended XYZ):
```
4
Lattice="4.925 0.000 0.000 2.463 4.266 0.000 2.463 1.422 5.332" Properties=species:S:1:pos:R:3 pbc="T T T"
Hf 4.925 2.844 2.666
Pb 7.388 4.266 3.808
Pb 2.463 1.422 1.524
Ce 0.000 0.000 0.000
```

Crystal system ... trigonal
Symmetry ... R-3m (166)
Density of states at the Fermi level ... 7.47 states/eV/f.u.
Total magnetic moment ... 0.8 μB per formula unit
Uncorrected energy ... -23.70 eV for the cell shown



CeHfPb2 | PBE | relaxed

Structure (extended XYZ):
```
4
Lattice="-1.649 -0.066 3.628 -1.798 -3.446 -0.880 5.291 -3.359 2.344" Properties=species:S:1:pos:R:3 pbc="T T T"
Pb 1.211 -0.769 0.536
Ce 0.922 -3.436 2.545
Hf -1.723 -1.756 1.374
Pb 4.081 -2.591 1.808
```

Crystal system ... tetragonal
Symmetry ... P4/mmm (123)
Density of states at the Fermi level ... 7.12 states/eV/f.u.
Total magnetic moment ... 0.8 μB per formula unit
Uncorrected energy ... -23.72 eV for the cell shown



CeHf2Pb | PBE | relaxed

Structure (extended XYZ):
```
4
Lattice="-0.195 1.876 -2.553 -2.580 1.791 -0.460 3.896 9.671 4.836" Properties=species:S:1:pos:R:3 pbc="T T T"
Pb 0.561 6.669 0.912
Hf -1.472 5.951 -1.434
Ce 0.000 0.000 0.000
Hf 2.593 7.387 3.257
```

Crystal system ... trigonal
Symmetry ... R-3m (166)
Density of states at the Fermi level ... 5.52 states/eV/f.u.
Total magnetic moment ... 0.1 μB per formula unit
Uncorrected energy ... -28.28 eV for the cell shown



CeHfPb2 | PBE | relaxed

Structure (extended XYZ):
```
4
Lattice="4.510 0.000 0.000 0.000 4.846 0.000 0.000 0.000 4.846" Properties=species:S:1:pos:R:3 pbc="T T T"
Pb 0.000 2.423 0.000
Ce 2.255 2.423 2.423
Pb 0.000 0.000 2.423
Hf 2.255 0.000 0.000
```

Crystal system ... tetragonal
Symmetry ... P4/mmm (123)
Density of states at the Fermi level ... 5.83 states/eV/f.u.
Total magnetic moment ... 0.9 μB per formula unit
Uncorrected energy ... -23.71 eV for the cell shown



CeHf2Pb | PBE | relaxed

Structure (extended XYZ):
```
4
Lattice="4.343 0.000 0.000 0.000 4.705 0.000 0.000 0.000 4.705" Properties=species:S:1:pos:R:3 pbc="T T T"
Hf 0.000 2.352 0.000
Pb 2.171 0.000 0.000
Hf 0.000 0.000 2.352
Ce 2.171 2.352 2.352
```

Crystal system ... tetragonal
Symmetry ... P4/mmm (123)
Density of states at the Fermi level ... 6.62 states/eV/f.u.
Total magnetic moment ... 0.0 μB per formula unit
Uncorrected energy ... -29.55 eV for the cell shown



CeHf3Pd12 | PBE | relaxed

Structure (extended XYZ):
```
16
Lattice="-0.778 -2.786 2.831 3.966 -0.701 0.400 0.861 11.428 11.483" Properties=species:S:1:pos:R:3 pbc="T T T"
Pd 2.234 6.757 10.157
Hf 0.643 8.530 8.571
Pd 2.098 1.178 1.736
Pd 2.519 6.760 7.345
Pd -0.064 2.925 5.754
Pd 0.357 8.507 11.362
Ce 0.000 0.000 0.000
Hf 0.218 2.898 2.912
Pd -0.274 0.136 2.951
Pd 2.729 9.549 10.147
Pd 0.146 5.718 8.560
Pd 2.024 3.971 7.357
Pd 2.308 3.967 4.538
Hf 0.430 5.714 5.741
Pd 1.814 1.184 4.557
Pd 1.594 -1.743 1.616
```

Crystal system ... tetragonal
Symmetry ... P4/mmm (123)
Density of states at the Fermi level ... 6.55 states/eV/f.u.
Total magnetic moment ... 0.6 μB per formula unit
Uncorrected energy ... -111.70 eV for the cell shown



Ce2HfPd | PBE | relaxed

Structure (extended XYZ):
```
4
Lattice="3.241 0.000 0.000 0.000 3.241 0.000 0.000 0.000 9.014" Properties=species:S:1:pos:R:3 pbc="T T T"
Ce 0.000 0.000 2.052
Hf 1.621 1.621 4.507
Pd 1.621 1.621 0.000
Ce 0.000 0.000 6.962
```

Crystal system ... tetragonal
Symmetry ... P4/mmm (123)
Density of states at the Fermi level ... 8.69 states/eV/f.u.
Total magnetic moment ... 0.0 μB per formula unit
Uncorrected energy ... -27.71 eV for the cell shown



CeHfPd2 | PBE | relaxed

Structure (extended XYZ):
```
4
Lattice="4.625 0.000 0.000 2.313 4.006 0.000 2.313 1.335 4.709" Properties=species:S:1:pos:R:3 pbc="T T T"
Ce 0.000 0.000 0.000
Hf 4.625 2.670 2.355
Pd 6.938 4.006 3.052
Pd 2.313 1.335 1.657
```

Crystal system ... trigonal
Symmetry ... R-3m (166)
Density of states at the Fermi level ... 6.52 states/eV/f.u.
Total magnetic moment ... 0.6 μB per formula unit
Uncorrected energy ... -28.61 eV for the cell shown



CeHfPd2 | PBE | relaxed

Structure (extended XYZ):
```
4
Lattice="3.316 0.000 0.000 0.000 3.316 0.000 0.000 0.000 7.457" Properties=species:S:1:pos:R:3 pbc="T T T"
Hf 1.658 1.658 0.000
Ce 1.658 1.658 3.729
Pd 0.000 0.000 1.535
Pd 0.000 0.000 5.923
```

Crystal system ... tetragonal
Symmetry ... P4/mmm (123)
Density of states at the Fermi level ... 7.70 states/eV/f.u.
Total magnetic moment ... 1.0 μB per formula unit
Uncorrected energy ... -28.84 eV for the cell shown



CeHfPd6 | PBE | relaxed

Structure (extended XYZ):
```
8
Lattice="4.091 0.000 0.000 0.000 4.091 0.000 0.000 0.000 8.173" Properties=species:S:1:pos:R:3 pbc="T T T"
Pd 0.000 2.045 6.035
Pd 2.045 2.045 4.086
Pd 2.045 0.000 2.137
Pd 2.045 2.045 0.000
Ce 0.000 0.000 0.000
Hf 0.000 0.000 4.086
Pd 2.045 0.000 6.035
Pd 0.000 2.045 2.137
```

Crystal system ... tetragonal
Symmetry ... P4/mmm (123)
Density of states at the Fermi level ... 5.83 states/eV/f.u.
Total magnetic moment ... 0.5 μB per formula unit
Uncorrected energy ... -53.72 eV for the cell shown



Ce2HfPd | PBE | relaxed

Structure (extended XYZ):
```
4
Lattice="-1.096 1.887 2.157 1.199 -0.037 2.824 7.257 8.205 -1.308" Properties=species:S:1:pos:R:3 pbc="T T T"
Ce 5.299 6.148 -0.503
Ce 2.061 3.908 4.176
Pd 3.680 5.028 1.836
Hf 0.000 0.000 0.000
```

Crystal system ... trigonal
Symmetry ... R-3m (166)
Density of states at the Fermi level ... 7.86 states/eV/f.u.
Total magnetic moment ... 0.0 μB per formula unit
Uncorrected energy ... -26.89 eV for the cell shown



CeHfPdPt | PBE | relaxed

Structure (extended XYZ):
```
4
Lattice="-1.459 -1.941 4.228 2.310 -3.888 1.823 2.778 0.460 3.981" Properties=species:S:1:pos:R:3 pbc="T T T"
Hf 1.814 -2.685 5.016
Pt 2.721 -4.027 7.524
Ce 0.000 0.000 0.000
Pd 0.907 -1.342 2.508
```

Crystal system ... cubic
Symmetry ... F-43m (216)
Density of states at the Fermi level ... 6.50 states/eV/f.u.
Total magnetic moment ... 0.7 μB per formula unit
Uncorrected energy ... -29.93 eV for the cell shown



Ce2HfPdS5 | PBE | relaxed

Structure (extended XYZ):
```
18
Lattice="3.824 0.000 0.000 -1.912 8.240 0.000 0.000 0.000 11.649" Properties=species:S:1:pos:R:3 pbc="T T T"
S 0.000 4.817 7.761
Ce 1.912 6.385 2.278
S 1.912 2.489 5.938
S 1.912 0.088 3.055
Ce 0.000 2.003 3.717
Ce 1.912 6.238 9.542
S 1.912 3.423 1.937
Hf 1.912 5.138 5.987
S 0.000 5.751 0.114
S 0.000 0.685 0.708
Pd 1.912 1.097 10.918
S 0.000 8.153 8.880
S 0.000 4.926 4.180
Ce 0.000 1.855 8.102
S 1.912 3.314 10.004
Hf 0.000 3.102 0.163
S 1.912 7.556 6.532
Pd 0.000 7.143 5.094
```

Crystal system ... orthorhombic
Symmetry ... Cmc2_1 (36)
Density of states at the Fermi level ... 11.73 states/eV/f.u.
Formation energy without anion corrections ... -1.61 eV per atom
Total magnetic moment ... 1.8 μB per formula unit
Uncorrected energy ... -124.26 eV for the cell shown



CeHfTcPd | PBE | relaxed

Structure (extended XYZ):
```
4
Lattice="-1.986 2.584 3.527 0.675 -1.272 4.581 2.768 2.690 2.856" Properties=species:S:1:pos:R:3 pbc="T T T"
Ce 0.364 1.000 2.741
Hf 1.092 3.001 8.223
Pd 0.000 0.000 0.000
Tc 0.728 2.001 5.482
```

Crystal system ... cubic
Symmetry ... F-43m (216)
Density of states at the Fermi level ... 4.57 states/eV/f.u.
Total magnetic moment ... 0.4 μB per formula unit
Uncorrected energy ... -32.92 eV for the cell shown



CePmHfSc | PBE | relaxed

Structure (extended XYZ):
```
4
Lattice="5.344 0.000 0.000 2.672 4.628 0.000 2.672 1.543 4.363" Properties=species:S:1:pos:R:3 pbc="T T T"
Ce 2.672 1.543 1.091
Sc 0.000 0.000 0.000
Pm 8.016 4.628 3.273
Hf 5.344 3.085 2.182
```

Crystal system ... cubic
Symmetry ... F-43m (216)
Density of states at the Fermi level ... 7.00 states/eV/f.u.
Total magnetic moment ... 0.2 μB per formula unit
Uncorrected energy ... -26.11 eV for the cell shown



Ce2PrHf | PBE | relaxed

Structure (extended XYZ):
```
4
Lattice="3.368 0.000 0.000 1.684 2.917 0.000 1.684 0.972 11.373" Properties=species:S:1:pos:R:3 pbc="T T T"
Hf 0.000 0.000 0.000
Ce 1.684 0.972 2.656
Pr 3.368 1.945 5.686
Ce 5.052 2.917 8.717
```

Crystal system ... trigonal
Symmetry ... R-3m (166)
Density of states at the Fermi level ... 9.85 states/eV/f.u.
Total magnetic moment ... 0.6 μB per formula unit
Uncorrected energy ... -25.92 eV for the cell shown



Ce2PrHf | PBE | relaxed

Structure (extended XYZ):
```
4
Lattice="3.303 0.000 0.000 0.000 3.303 0.000 0.000 0.000 10.305" Properties=species:S:1:pos:R:3 pbc="T T T"
Ce 0.000 0.000 7.939
Pr 1.652 1.652 5.152
Ce 0.000 0.000 2.366
Hf 1.652 1.652 0.000
```

Crystal system ... tetragonal
Symmetry ... P4/mmm (123)
Density of states at the Fermi level ... 10.23 states/eV/f.u.
Total magnetic moment ... 0.0 μB per formula unit
Uncorrected energy ... -25.98 eV for the cell shown



CePrHf | PBE | relaxed

Structure (extended XYZ):
```
3
Lattice="-1.092 -0.544 3.099 3.147 -0.208 1.072 -0.984 7.932 -0.744" Properties=species:S:1:pos:R:3 pbc="T T T"
Hf 1.042 2.206 2.544
Pr 0.001 0.116 0.021
Ce 0.028 4.858 0.862
```

Crystal system ... tetragonal
Symmetry ... I4mm (107)
Density of states at the Fermi level ... 5.71 states/eV/f.u.
Total magnetic moment ... 0.5 μB per formula unit
Uncorrected energy ... -20.12 eV for the cell shown



Ce2PrHf | PBE | relaxed

Structure (extended XYZ):
```
4
Lattice="-4.714 -0.746 -1.553 -1.441 -0.251 4.496 -0.746 4.669 0.022" Properties=species:S:1:pos:R:3 pbc="T T T"
Hf -3.451 1.836 1.483
Ce -0.373 2.335 0.011
Ce -0.721 -0.126 2.248
Pr -2.357 -0.373 -0.776
```

Crystal system ... tetragonal
Symmetry ... P4/mmm (123)
Density of states at the Fermi level ... 9.18 states/eV/f.u.
Total magnetic moment ... 0.0 μB per formula unit
Uncorrected energy ... -25.77 eV for the cell shown



CeHfPt2 | PBE | relaxed

Structure (extended XYZ):
```
8
Lattice="4.397 0.000 0.000 0.000 5.252 -1.632 0.000 -0.067 7.350" Properties=species:S:1:pos:R:3 pbc="T T T"
Pt 1.099 4.197 3.630
Ce 3.298 3.753 5.635
Hf 3.298 3.723 2.038
Pt 1.099 4.294 0.412
Pt 3.298 0.988 2.088
Ce 1.099 1.432 0.083
Hf 1.099 1.462 3.680
Pt 3.298 0.891 5.306
```

Crystal system ... monoclinic
Symmetry ... P2_1/m (11)
Density of states at the Fermi level ... 6.34 states/eV/f.u.
Total magnetic moment ... 0.6 μB per formula unit
Uncorrected energy ... -64.77 eV for the cell shown



CeHfPt6 | PBE | relaxed

Structure (extended XYZ):
```
8
Lattice="-2.602 -2.241 -2.245 1.403 -3.417 1.786 -5.693 0.731 5.870" Properties=species:S:1:pos:R:3 pbc="T T T"
Pt -0.600 -2.829 -0.229
Ce 0.000 0.000 0.000
Hf -2.846 0.365 2.935
Pt -0.782 -1.518 2.422
Pt -3.509 -1.168 5.234
Pt -2.784 -0.930 0.407
Pt -5.511 -0.580 3.218
Pt -3.446 -2.464 2.706
```

Crystal system ... tetragonal
Symmetry ... P4/mmm (123)
Density of states at the Fermi level ... 3.65 states/eV/f.u.
Total magnetic moment ... 0.2 μB per formula unit
Uncorrected energy ... -60.39 eV for the cell shown



CeHfPt2 | PBE | relaxed

Structure (extended XYZ):
```
4
Lattice="4.110 0.000 0.000 2.055 3.559 0.000 2.055 1.186 6.201" Properties=species:S:1:pos:R:3 pbc="T T T"
Ce 4.110 2.373 3.100
Hf 0.000 0.000 0.000
Pt 2.055 1.186 1.315
Pt 6.164 3.559 4.886
```

Crystal system ... trigonal
Symmetry ... R-3m (166)
Density of states at the Fermi level ... 6.55 states/eV/f.u.
Total magnetic moment ... 0.7 μB per formula unit
Uncorrected energy ... -31.79 eV for the cell shown



CeHf2Pt9 | PBE | relaxed

Structure (extended XYZ):
```
12
Lattice="4.081 0.000 0.000 0.000 4.081 0.000 0.000 0.000 12.238" Properties=species:S:1:pos:R:3 pbc="T T T"
Pt 2.040 0.000 6.119
Pt 2.040 2.040 8.096
Pt 0.000 2.040 2.151
Pt 2.040 2.040 4.142
Pt 2.040 2.040 0.000
Hf 0.000 0.000 8.126
Ce 0.000 0.000 0.000
Pt 0.000 2.040 6.119
Hf 0.000 0.000 4.112
Pt 0.000 2.040 10.086
Pt 2.040 0.000 10.086
Pt 2.040 0.000 2.151
```

Crystal system ... tetragonal
Symmetry ... P4/mmm (123)
Density of states at the Fermi level ... 4.27 states/eV/f.u.
Total magnetic moment ... 0.2 μB per formula unit
Uncorrected energy ... -92.89 eV for the cell shown